#w
Density functional theory data (GGA+U) for a geometry-optimized CoAgTeO structure.

Structure (CIF):
```
data_CoAgTeO
_cell_length_a 3.824
_cell_length_b 13.538
_cell_length_c 5.908
_cell_angle_alpha 90.00
_cell_angle_beta 90.00
_cell_angle_gamma 90.00
_symmetry_space_group_name_H-M 'C m c 21'
_symmetry_Int_Tables_number 36
_symmetry_space_group_name_Hall 'C 2c -2'
loop_
_atom_site_label
_atom_site_type_symbol
_atom_site_fract_x
_atom_site_fract_y
_atom_site_fract_z
Co1 Co 0.000 0.053 0.000
Ag1 Ag 0.000 0.341 0.129
Te1 Te 0.000 0.326 0.642
O1 O 0.000 0.059 0.680
```

***

#x
Density functional theory data (GGA+U) for a geometry-optimized CoAgTeO structure.

Structure (CIF):
```
data_CoAgTeO
_cell_length_a 3.3614
_cell_length_b 3.3614
_cell_length_c 14.5089
_cell_angle_alpha 90.00
_cell_angle_beta 90.00
_cell_angle_gamma 120.00
_symmetry_space_group_name_H-M 'P 63 m c'
_symmetry_Int_Tables_number 186
_symmetry_space_group_name_Hall 'P 6c -2c'
loop_
_atom_site_label
_atom_site_type_symbol
_atom_site_fract_x
_atom_site_fract_y
_atom_site_fract_z
Co1 Co 0.3333 0.6667 0.0000
Ag1 Ag 0.0000 0.0000 0.1903
Te1 Te 0.3333 0.6667 0.3407
O1 O 0.0000 0.0000 0.0380
```

***

#y
Density functional theory data (GGA+U) for a geometry-optimized CoAgTeO structure.

Structure (CIF):
```
data_CoAgTeO
_cell_length_a 3.925
_cell_length_b 3.925
_cell_length_c 10.327
_cell_angle_alpha 90.00
_cell_angle_beta 90.00
_cell_angle_gamma 90.00
_symmetry_space_group_name_H-M 'P 4/n m m'
_symmetry_Int_Tables_number 129
loop_
_symmetry_equiv_pos_as_xyz
'x,y,z'
'-x,-y,-z'
'-y+1/2,x,z'
'y+1/2,-x,-z'
'-x+1/2,-y+1/2,z'
'x+1/2,y+1/2,-z'
'y,-x+1/2,z'
'-y,x+1/2,-z'
'x+1/2,-y,-z'
'-x+1/2,y,z'
'-y,-x,-z'
'y,x,z'
'-x,y+1/2,-z'
'x,-y+1/2,z'
'y+1/2,x+1/2,-z'
'-y+1/2,-x+1/2,z'
loop_
_atom_site_label
_atom_site_type_symbol
_atom_site_fract_x
_atom_site_fract_y
_atom_site_fract_z
Co1 Co 0.250 0.250 0.106
Ag1 Ag 0.250 0.250 0.581
Te1 Te 0.250 0.250 0.856
O1 O 0.250 0.750 0.500
```

***

#z
Density functional theory data (GGA+U) for a geometry-optimized CoAgTeO structure.

Structure (CIF):
```
data_CoAgTeO
_cell_length_a 5.951
_cell_length_b 8.575
_cell_length_c 5.672
_cell_angle_alpha 90.00
_cell_angle_beta 90.00
_cell_angle_gamma 90.00
_symmetry_space_group_name_H-M 'P c a 21'
_symmetry_Int_Tables_number 29
_symmetry_space_group_name_Hall 'P 2c -2ac'
loop_
_atom_site_label
_atom_site_type_symbol
_atom_site_fract_x
_atom_site_fract_y
_atom_site_fract_z
Co1 Co 0.124 0.045 0.000
Ag1 Ag 0.072 0.678 0.805
Te1 Te 0.066 0.339 0.803
O1 O 0.143 0.949 0.696
```

***

Least stable = #y